Entry 1:
Ho7Os2Pb2 after structural relaxation. Source: the Alexandria database, functional PBE.

Structure (POSCAR):
```
Ho7Os2Pb2
1.0
6.761 -0.003 -0.622
0.003 7.241 0.003
-1.042 -0.002 6.709
Ho Os Pb
7 2 2
direct
0.500 0.774 0.500
0.000 0.000 0.000
0.500 0.760 0.000
0.500 0.226 0.500
0.000 0.760 0.500
0.500 0.240 0.000
0.000 0.240 0.500
0.285 0.000 0.715
0.715 0.000 0.285
0.810 0.500 0.810
0.190 0.500 0.190
```

Values from the calculation:
Mass density = 10.00 g/cm3
Uncorrected energy = -5.86 eV per atom



Entry 2:
Sr2CrW after structural relaxation. Source: the Alexandria database, functional PBE.

Structure (POSCAR):
```
Sr2CrW
1.0
-1.589 2.945 4.084
2.111 -3.480 3.363
2.961 2.133 -3.815
W Cr Sr
1 1 2
direct
0.500 0.500 0.000
0.750 0.250 0.500
0.250 0.750 0.500
0.000 0.000 0.000
```

Values from the calculation:
Mass density = 6.58 g/cm3
Uncorrected energy = -5.26 eV per atom
Energy above the lowest structure with this stoichiometry = 2.166 eV/f.u.



Entry 3:
SrMn2Au after structural relaxation. Source: the Alexandria database, functional PBE.

Structure (POSCAR):
```
SrMn2Au
1.0
0.000 3.462 3.462
3.462 0.000 3.462
3.462 3.462 0.000
Sr Au Mn
1 1 2
direct
0.000 0.000 0.000
0.500 0.500 0.500
0.750 0.750 0.750
0.250 0.250 0.250
```

Values from the calculation:
Mass density = 7.89 g/cm3
Uncorrected energy = -5.43 eV per atom



Entry 4:
CaZr2In after structural relaxation. Source: the Alexandria database, functional PBE.

Structure (POSCAR):
```
CaZr2In
1.0
5.568 0.000 0.000
0.000 3.215 -0.133
0.000 0.813 5.625
Zr Ca In
2 1 1
direct
0.000 0.956 0.978
0.000 0.544 0.522
0.500 0.250 0.250
0.500 0.750 0.750
```

Values from the calculation:
Mass density = 5.53 g/cm3
Uncorrected energy = -5.42 eV per atom



Entry 5:
UHg3S2Cl6 after structural relaxation. Source: the Alexandria database, functional PBE.

Structure (POSCAR):
```
UHg3S2Cl6
1.0
-3.553 0.051 -6.215
6.235 -2.621 -3.586
-3.063 -5.447 6.826
U Cl Hg S
1 6 3 2
direct
0.500 0.000 0.000
0.252 0.125 0.775
0.728 0.920 0.839
0.272 0.080 0.161
0.748 0.875 0.225
0.252 0.650 0.775
0.748 0.350 0.225
0.000 0.500 0.000
0.500 0.000 0.500
0.500 0.500 0.500
0.743 0.327 0.654
0.257 0.673 0.346
```

Values from the calculation:
Mass density = 4.73 g/cm3
Uncorrected energy = -3.55 eV per atom



Entry 6:
Li5SnAs3 after structural relaxation. Source: the Alexandria database, functional PBE.

Structure (POSCAR):
```
Li5SnAs3
1.0
-0.237 -4.810 -3.916
5.086 5.261 -1.851
3.775 -5.169 6.121
Sn Li As
2 10 6
direct
0.734 0.000 0.750
0.266 0.000 0.250
0.753 0.000 0.250
0.577 0.673 0.927
0.096 0.673 0.427
0.904 0.327 0.573
0.085 0.661 0.912
0.423 0.339 0.588
0.247 0.000 0.750
0.423 0.327 0.073
0.577 0.661 0.412
0.915 0.339 0.088
0.000 0.000 0.500
0.338 0.664 0.671
0.674 0.336 0.829
0.000 0.000 0.000
0.662 0.336 0.329
0.326 0.664 0.171
```

Values from the calculation:
Mass density = 3.50 g/cm3
Uncorrected energy = -3.60 eV per atom